*one*
VASP calculation (PBE-GGA) on a geometry-optimized PmDyGe structure.

Cell: 5.5992 9.8841 5.4643 Å, 90.00 90.00 90.00°
Last column: nearest neighbours and their distance in Å.
Space group Cmcm (No. 63)
Asymmetric unit:
Pm: 0.0000 0.0920 0.2500 (multiplicity 4)  1 Dy 2.96, 4 Ge 3.14-3.22, 2 Pm 3.28
Dy: 0.0000 0.3917 0.2500 (multiplicity 4)  1 Pm 2.96, 4 Ge 3.08-3.12
Ge: 0.0000 0.2479 0.7500 (multiplicity 4)  4 Dy 3.08-3.12, 5 Pm 3.14-3.36

Summary:
**Magnetic moment**: 0.000 Bohr magnetons per cell
**Crystal system**: orthorhombic

---

*two*
VASP calculation (PBE-GGA) on a geometry-optimized PmDyGe structure.

Cell: 7.0084 7.0084 7.0084 Å, 90.00 90.00 90.00°
Last column: nearest neighbours and their distance in Å.
Space group F-43m (No. 216)
Asymmetric unit:
Pm: 0.0000 0.0000 0.0000 (multiplicity 4)  4 Ge 3.03
Dy: 0.0000 0.0000 0.5000 (multiplicity 4)  4 Ge 3.03
Ge: 0.2500 0.2500 0.2500 (multiplicity 4)  4 Dy 3.03, 4 Pm 3.03

Summary:
**Magnetic moment**: 0.000 Bohr magnetons per cell
**Crystal system**: cubic

---

Energy above the most stable structure, in eV/atom: *one* 0.112; *two* 0.000

---

*one*
VASP calculation (PBE-GGA) on a geometry-optimized Pm2DyGe structure.

Cell: 6.4393 4.2182 8.9134 Å, 90.00 90.00 90.00°
Last column: nearest neighbours and their distance in Å.
Space group Pmma (No. 51)
Asymmetric unit:
Pm: 0.2500 0.0000 0.1168 (multiplicity 2)  2 Ge 3.00
Pm: 0.2500 0.5000 0.7728 (multiplicity 2)  3 Ge 3.42-3.71, 4 Dy 3.60, 2 Pm 3.72
Dy: 0.0000 0.0000 0.5000 (multiplicity 2)  4 Ge 2.94, 2 Dy 3.22
Ge: 0.2500 0.5000 0.3568 (multiplicity 2)  4 Dy 2.94, 2 Pm 3.00

Summary:
**Magnetic moment**: 0.000 Bohr magnetons per cell
**Crystal system**: orthorhombic

---

*two*
VASP calculation (PBE-GGA) on a geometry-optimized Pm2DyGe structure.

Cell: 4.0895 4.0895 6.6561 Å, 90.00 90.00 90.00°
Last column: nearest neighbours and their distance in Å.
Space group P4/mmm (No. 123)
Asymmetric unit:
Pm: 0.0000 0.0000 0.2207 (multiplicity 2)  1 Pm 2.94, 4 Ge 3.24
Dy: 0.5000 0.5000 0.5000 (multiplicity 1)  2 Ge 3.33, 8 Pm 3.44
Ge: 0.5000 0.5000 0.0000 (multiplicity 1)  8 Pm 3.24, 2 Dy 3.33

Summary:
**Magnetic moment**: 0.000 Bohr magnetons per cell
**Crystal system**: tetragonal

---

Energy above the most stable structure, in eV/atom: *one* 0.000; *two* 0.107

---

*one*
VASP calculation (PBE-GGA) on a geometry-optimized Pm2DyGe structure.

Cell: 3.6712 3.6712 33.0467 Å, 90.00 90.00 120.00°
Last column: nearest neighbours and their distance in Å.
Space group R-3m (No. 166, hexagonal axes)
Asymmetric unit:
Pm: 0.0000 0.0000 0.1047 (multiplicity 6)  3 Ge 2.95
Dy: 0.0000 0.0000 0.0000 (multiplicity 3)  2 Pm 3.46, 6 Dy 3.67
Ge: 0.0000 0.0000 0.5000 (multiplicity 3)  6 Pm 2.95

Summary:
**Magnetic moment**: 2.373 Bohr magnetons per cell
**Crystal system**: trigonal

---

*two*
VASP calculation (PBE-GGA) on a geometry-optimized Pm2DyGe structure.

Cell: 4.7241 4.7241 4.7839 Å, 90.00 90.00 90.00°
Last column: nearest neighbours and their distance in Å.
Space group P4/mmm (No. 123)
Asymmetric unit:
Pm: 0.0000 0.5000 0.0000 (multiplicity 2)  4 Pm 3.34, 4 Ge 3.36, 4 Dy 3.36
Dy: 0.0000 0.0000 0.5000 (multiplicity 1)  4 Ge 3.34, 8 Pm 3.36
Ge: 0.5000 0.5000 0.5000 (multiplicity 1)  4 Dy 3.34, 8 Pm 3.36

Summary:
**Magnetic moment**: 0.000 Bohr magnetons per cell
**Crystal system**: tetragonal

---

Energy above the most stable structure, in eV/atom: *one* 0.327; *two* 0.000

---

*one*
VASP calculation (PBE-GGA) on a geometry-optimized Pm3Dy2Ge4 structure.

Cell: 8.0306 7.9246 7.7281 Å, 90.00 111.64 90.00°
Last column: nearest neighbours and their distance in Å.
Space group P2_1/c (No. 14)
Asymmetric unit:
Pm: 0.0000 0.0000 0.0000 (multiplicity 2)  6 Ge 3.09-3.12
Pm: 0.3023 0.1814 0.4331 (multiplicity 4)  6 Ge 3.06-3.40
Dy: 0.2618 0.6649 0.2690 (multiplicity 4)  6 Ge 2.88-3.06
Ge: 0.0072 0.1272 0.6250 (multiplicity 4)  1 Ge 2.77, 3 Dy 3.02-3.06, 2 Pm 3.07-3.09
Ge: 0.4163 0.5390 0.6713 (multiplicity 4)  3 Dy 2.88-3.06, 2 Pm 3.06-3.12

Summary:
**Magnetic moment**: 0.000 Bohr magnetons per cell
**Crystal system**: monoclinic

---

*two*
VASP calculation (PBE-GGA) on a geometry-optimized Pm3Dy2Ge4 structure.

Cell: 11.4854 4.4437 9.6163 Å, 90.00 99.40 90.00°
Last column: nearest neighbours and their distance in Å.
Space group C2/m (No. 12)
Asymmetric unit:
Pm: 0.0000 0.0000 0.0000 (multiplicity 2)  4 Ge 2.94
Pm: 0.1196 0.5000 0.3991 (multiplicity 4)  3 Ge 2.88-3.10
Dy: 0.1818 0.5000 0.8131 (multiplicity 4)  5 Ge 2.92-3.00
Ge: 0.0903 0.0000 0.6150 (multiplicity 4)  1 Ge 2.77, 2 Dy 3.00, 2 Pm 3.10
Ge: 0.1561 0.5000 0.1097 (multiplicity 4)  3 Pm 2.88-2.94, 3 Dy 2.92

Summary:
**Magnetic moment**: 0.347 Bohr magnetons per cell
**Crystal system**: monoclinic

---

Energy above the most stable structure, in eV/atom: *one* 0.000; *two* 0.140

---

*one*
VASP calculation (PBE-GGA) on a geometry-optimized PmDyZnGe structure.

Cell: 4.1336 4.2458 11.1067 Å, 90.00 90.00 90.00°
Last column: nearest neighbours and their distance in Å.
Space group Amm2 (No. 38)
Asymmetric unit:
Pm: 0.0000 0.0000 0.0000 (multiplicity 2)  4 Zn 3.07, 3 Ge 3.11-3.24
Dy: 0.5000 0.0000 0.2826 (multiplicity 2)  4 Ge 3.04, 3 Zn 3.15-3.22
Zn: 0.5000 0.0000 0.5729 (multiplicity 2)  2 Ge 2.64
Ge: 0.0000 0.0000 0.7204 (multiplicity 2)  2 Zn 2.64

Summary:
**Magnetic moment**: 0.711 Bohr magnetons per cell
**Crystal system**: orthorhombic

---

*two*
VASP calculation (PBE-GGA) on a geometry-optimized PmDyZnGe structure.

Cell: 7.1943 7.1943 7.1943 Å, 90.00 90.00 90.00°
Last column: nearest neighbours and their distance in Å.
Space group F-43m (No. 216)
Asymmetric unit:
Pm: 0.0000 0.0000 0.0000 (multiplicity 4)  4 Ge 3.12, 4 Zn 3.12
Dy: 0.0000 0.0000 0.5000 (multiplicity 4)  4 Ge 3.12, 4 Zn 3.12
Zn: 0.2500 0.2500 0.7500 (multiplicity 4)  4 Dy 3.12, 4 Pm 3.12
Ge: 0.2500 0.2500 0.2500 (multiplicity 4)  4 Dy 3.12, 4 Pm 3.12

Summary:
**Magnetic moment**: 0.000 Bohr magnetons per cell
**Crystal system**: cubic

---

Energy above the most stable structure, in eV/atom: *one* 0.000; *two* 0.076

---

*one*
VASP calculation (PBE-GGA) on a geometry-optimized PrDyGePt structure.

Cell: 7.2333 7.2333 7.2333 Å, 90.00 90.00 90.00°
Last column: nearest neighbours and their distance in Å.
Space group F-43m (No. 216)
Asymmetric unit:
Pr: 0.0000 0.0000 0.0000 (multiplicity 4)  4 Ge 3.13, 4 Pt 3.13
Dy: 0.0000 0.0000 0.5000 (multiplicity 4)  4 Pt 3.13, 4 Ge 3.13
Ge: 0.2500 0.2500 0.2500 (multiplicity 4)  4 Dy 3.13, 4 Pr 3.13
Pt: 0.2500 0.2500 0.7500 (multiplicity 4)  4 Dy 3.13, 4 Pr 3.13

Summary:
**Magnetic moment**: 0.000 Bohr magnetons per cell
**Crystal system**: cubic

---

*two*
VASP calculation (PBE-GGA) on a geometry-optimized PrDyGePt structure.

Cell: 4.2913 4.0440 11.1786 Å, 90.00 90.00 90.00°
Last column: nearest neighbours and their distance in Å.
Space group Amm2 (No. 38)
Asymmetric unit:
Pr: 0.0000 0.0000 0.0000 (multiplicity 2)  3 Pt 3.04-3.25, 4 Ge 3.04
Dy: 0.5000 0.0000 0.7233 (multiplicity 2)  4 Pt 3.00, 3 Ge 3.09-3.25
Ge: 0.5000 0.0000 0.4323 (multiplicity 2)  2 Pt 2.79, 4 Pr 3.04, 2 Dy 3.09
Pt: 0.0000 0.0000 0.2721 (multiplicity 2)  2 Ge 2.79, 4 Dy 3.00, 1 Pr 3.04

Summary:
**Magnetic moment**: 0.000 Bohr magnetons per cell
**Crystal system**: orthorhombic

---

Energy above the most stable structure, in eV/atom: *one* 0.156; *two* 0.000